Compound: FeNi2IrCl
Source: the Alexandria database
Functional: PBE
Structure: optimized geometry

Values from the calculation:
The symmetry is P4/mmm. For the size of the total moment, the calculation gives 5.82 μB/cell. The formation energy (no corrections) comes out at 1.364 eV per atom.

Unit cell a=4.625 b=4.625 c=4.599 alpha=90.00 beta=90.00 gamma=90.00
Atoms (fractional coordinates):
Fe: 0.000 0.000 0.000
Ni: 0.000 0.500 0.500
Ni: 0.500 0.000 0.500
Ir: 0.500 0.500 0.500
Cl: 0.500 0.500 0.000